DFT (PBE-GGA) results for a relaxed Tb4Sm2Tl3H2 crystal.

Cell lengths 12.811, 12.811, 12.811 Å; angles 158.44, 158.44, 30.68 degrees
Fractional positions:
Tb  0.084  0.584  0.500
Tb  0.416  0.916  0.500
Tb  0.584  0.084  0.500
Tb  0.916  0.416  0.500
Sm  0.198  0.198  0.000
Sm  0.802  0.802  0.000
Tl  0.328  0.328  0.000
Tl  0.500  0.500  0.000
Tl  0.672  0.672  0.000
H  0.100  0.100  0.000
H  0.900  0.900  0.000

Calculated values
Total energy (eV/atom): -4.10
Magnetic moment (μB per formula unit): 0.000